A plane-wave DFT calculation with PBE-GGA was carried out for AcReOs after structural relaxation.

abc: 6.539 6.539 6.539
angles: 90.00 90.00 90.00
Space group F-43m (No. 216)
Inequivalent atoms, fractional coordinates:
Ac 0.000 0.000 0.000 [4 per cell]
Re 0.250 0.250 0.750 [4 per cell]
Os 0.000 0.000 0.500 [4 per cell]

Values from the calculation:
The calculation puts the formation energy at 1.076 eV per atom. The total moment comes out at 0.019 μB/f.u. As for the excess energy over the best structure of this formula in the dataset: 0 meV/atom.